Entry 1:
First-principles (PBE) data for an optimized crystal structure of Li3Th5H12, as listed in Alexandria.

Computed properties:
The total energy is -87.16 eV per formula unit. The value obtained for the density of states at the Fermi level is 27.3 states/eV per cell. The symmetry is Ia-3d.

POSCAR file:
```
Li3Th5H12
1.0
-6.6239 6.6239 6.6239
6.6239 -6.6239 6.6239
6.6239 6.6239 -6.6239
Li Th H
12 20 48
Direct
0.1250 0.2500 0.3750
0.1250 0.3750 0.7500
0.2500 0.3750 0.1250
0.2500 0.8750 0.6250
0.3750 0.1250 0.2500
0.3750 0.7500 0.1250
0.6250 0.2500 0.8750
0.6250 0.8750 0.7500
0.7500 0.1250 0.3750
0.7500 0.6250 0.8750
0.8750 0.6250 0.2500
0.8750 0.7500 0.6250
0.0000 0.0000 0.0000
0.0000 0.0000 0.5000
0.0000 0.5000 0.0000
0.0000 0.5000 0.5000
0.1250 0.7500 0.8750
0.1250 0.8750 0.2500
0.2500 0.1250 0.8750
0.2500 0.6250 0.3750
0.3750 0.2500 0.6250
0.3750 0.6250 0.7500
0.5000 0.0000 0.0000
0.5000 0.0000 0.5000
0.5000 0.5000 0.0000
0.5000 0.5000 0.5000
0.6250 0.3750 0.2500
0.6250 0.7500 0.3750
0.7500 0.3750 0.6250
0.7500 0.8750 0.1250
0.8750 0.1250 0.7500
0.8750 0.2500 0.1250
0.0196 0.7034 0.6504
0.0196 0.8162 0.3692
0.0530 0.2034 0.1838
0.0530 0.3496 0.8692
0.1308 0.6838 0.4804
0.1308 0.9470 0.6504
0.1504 0.2034 0.5196
0.1504 0.4470 0.6308
0.1838 0.0530 0.2034
0.1838 0.6308 0.9804
0.2034 0.1838 0.0530
0.2034 0.5196 0.1504
0.2966 0.3496 0.9804
0.2966 0.4470 0.3162
0.3162 0.2966 0.4470
0.3162 0.5196 0.8692
0.3496 0.8692 0.0530
0.3496 0.9804 0.2966
0.3692 0.0196 0.8162
0.3692 0.8496 0.5530
0.4470 0.3162 0.2966
0.4470 0.6308 0.1504
0.4804 0.1308 0.6838
0.4804 0.8496 0.7966
0.5196 0.1504 0.2034
0.5196 0.8692 0.3162
0.5530 0.3692 0.8496
0.5530 0.6838 0.7034
0.6308 0.1504 0.4470
0.6308 0.9804 0.1838
0.6504 0.0196 0.7034
0.6504 0.1308 0.9470
0.6838 0.4804 0.1308
0.6838 0.7034 0.5530
0.7034 0.5530 0.6838
0.7034 0.6504 0.0196
0.7966 0.4804 0.8496
0.7966 0.8162 0.9470
0.8162 0.3692 0.0196
0.8162 0.9470 0.7966
0.8496 0.5530 0.3692
0.8496 0.7966 0.4804
0.8692 0.0530 0.3496
0.8692 0.3162 0.5196
0.9470 0.6504 0.1308
0.9470 0.7966 0.8162
0.9804 0.1838 0.6308
0.9804 0.2966 0.3496
```

---

Entry 2:
First-principles (PBE) data for an optimized crystal structure of LiThH2, as listed in Alexandria.

Computed properties:
The value obtained for the density of states at the Fermi level is 1.9 states/eV per cell. The symmetry is R3m. As for the energy above the most stable polymorph in this dataset: 0.081 eV/atom.

POSCAR file:
```
LiThH2
1.0
3.2933 0.0000 0.0000
-1.6467 2.8521 0.0000
0.0000 0.0000 17.8490
Li Th H
3 3 6
Direct
0.0000 0.0000 0.0000
0.3333 0.6667 0.6667
0.6667 0.3333 0.3333
0.0000 0.0000 0.8248
0.3333 0.6667 0.4914
0.6667 0.3333 0.1581
0.0000 0.0000 0.4010
0.0000 0.0000 0.5856
0.3333 0.6667 0.0677
0.3333 0.6667 0.2522
0.6667 0.3333 0.7344
0.6667 0.3333 0.9189
```

---

Entry 3:
First-principles (PBE) data for an optimized crystal structure of LiThH2, as listed in Alexandria.

Computed properties:
The value obtained for the density of states at the Fermi level is 5.2 states/eV per cell. The symmetry is R-3m. As for the energy above the most stable polymorph in this dataset: 0.000 eV/atom.

POSCAR file:
```
LiThH2
1.0
3.3842 0.0000 0.0000
-1.6921 2.9308 0.0000
0.0000 0.0000 16.8471
Li Th H
3 3 6
Direct
0.0000 0.0000 0.0000
0.3333 0.6667 0.6667
0.6667 0.3333 0.3333
0.0000 0.0000 0.5000
0.3333 0.6667 0.1667
0.6667 0.3333 0.8333
0.0000 0.0000 0.2568
0.0000 0.0000 0.7432
0.3333 0.6667 0.4098
0.3333 0.6667 0.9235
0.6667 0.3333 0.0765
0.6667 0.3333 0.5902
```

---

Entry 4:
First-principles (PBE) data for an optimized crystal structure of LiTh2H, as listed in Alexandria.

Computed properties:
The total energy is -19.68 eV per formula unit. The value obtained for the density of states at the Fermi level is 11.2 states/eV per cell. The symmetry is R-3m.

POSCAR file:
```
LiTh2H
1.0
3.3854 0.0000 0.0000
-1.6927 2.9318 0.0000
0.0000 0.0000 29.5043
Li Th H
3 6 3
Direct
0.0000 0.0000 0.0000
0.3333 0.6667 0.6667
0.6667 0.3333 0.3333
0.0000 0.0000 0.1123
0.0000 0.0000 0.8877
0.3333 0.6667 0.5543
0.3333 0.6667 0.7790
0.6667 0.3333 0.2210
0.6667 0.3333 0.4457
0.0000 0.0000 0.5000
0.3333 0.6667 0.1667
0.6667 0.3333 0.8333
```

---

Entry 5:
First-principles (PBE) data for an optimized crystal structure of LiTiH4, as listed in Alexandria.

Computed properties:
The total energy is -25.08 eV per formula unit. The value obtained for the density of states at the Fermi level is 1.4 states/eV per cell. The symmetry is P4/mmm.

POSCAR file:
```
LiTiH4
1.0
3.0708 0.0000 0.0000
0.0000 3.0708 0.0000
0.0000 0.0000 4.5851
Li Ti H
1 1 4
Direct
0.0000 0.0000 0.0000
0.5000 0.5000 0.5000
0.0000 0.5000 0.2626
0.0000 0.5000 0.7374
0.5000 0.0000 0.2626
0.5000 0.0000 0.7374
```

---

Entry 6:
First-principles (PBE) data for an optimized crystal structure of Li2TiH, as listed in Alexandria.

Computed properties:
The value obtained for the density of states at the Fermi level is 17.8 states/eV per cell. The symmetry is Fm-3m. As for the energy above the most stable polymorph in this dataset: 0.677 eV/atom.

POSCAR file:
```
Li2TiH
1.0
6.0757 0.0000 0.0000
0.0000 6.0757 0.0000
0.0000 0.0000 6.0757
Li Ti H
8 4 4
Direct
0.2500 0.2500 0.2500
0.2500 0.2500 0.7500
0.2500 0.7500 0.2500
0.2500 0.7500 0.7500
0.7500 0.2500 0.2500
0.7500 0.2500 0.7500
0.7500 0.7500 0.2500
0.7500 0.7500 0.7500
0.0000 0.0000 0.0000
0.0000 0.5000 0.5000
0.5000 0.0000 0.5000
0.5000 0.5000 0.0000
0.0000 0.0000 0.5000
0.0000 0.5000 0.0000
0.5000 0.0000 0.0000
0.5000 0.5000 0.5000
```

---

Entry 7:
First-principles (PBE) data for an optimized crystal structure of Li2TiH, as listed in Alexandria.

Computed properties:
The value obtained for the density of states at the Fermi level is 5.8 states/eV per cell. The symmetry is I-42d. As for the energy above the most stable polymorph in this dataset: 0.000 eV/atom.

POSCAR file:
```
Li2TiH
1.0
5.4473 0.0000 0.0000
0.0000 5.4473 0.0000
0.0000 0.0000 7.6760
Li Ti H
8 4 4
Direct
0.0012 0.2500 0.1250
0.2500 0.5012 0.3750
0.2500 0.9988 0.8750
0.4988 0.2500 0.6250
0.5012 0.7500 0.6250
0.7500 0.0012 0.8750
0.7500 0.4988 0.3750
0.9988 0.7500 0.1250
0.0000 0.0000 0.5000
0.0000 0.5000 0.7500
0.5000 0.0000 0.2500
0.5000 0.5000 0.0000
0.0000 0.0000 0.0000
0.0000 0.5000 0.2500
0.5000 0.0000 0.7500
0.5000 0.5000 0.5000
```

---

Entry 8:
First-principles (PBE) data for an optimized crystal structure of Li2TiH6, as listed in Alexandria.

Computed properties:
The total energy is -30.66 eV per formula unit. The value obtained for the density of states at the Fermi level is 0.0 states/eV per cell. The symmetry is Fm-3m.

POSCAR file:
```
Li2TiH6
1.0
0.0000 3.5336 3.5336
3.5336 0.0000 3.5336
3.5336 3.5336 0.0000
Li Ti H
2 1 6
Direct
0.2500 0.2500 0.2500
0.7500 0.7500 0.7500
0.0000 0.0000 0.0000
0.2547 0.2547 0.7453
0.2547 0.7453 0.2547
0.2547 0.7453 0.7453
0.7453 0.2547 0.2547
0.7453 0.2547 0.7453
0.7453 0.7453 0.2547
```

---

Entry 9:
First-principles (PBE) data for an optimized crystal structure of LiTi2H4, as listed in Alexandria.

Computed properties:
The total energy is -33.28 eV per formula unit. The value obtained for the density of states at the Fermi level is 7.3 states/eV per cell. The symmetry is C2/c.

POSCAR file:
```
LiTi2H4
1.0
3.9994 -3.9861 0.0000
3.9994 3.9861 0.0000
-3.9913 0.0000 4.0773
Li Ti H
2 4 8
Direct
0.1241 0.8759 0.7500
0.8759 0.1241 0.2500
0.0000 0.5000 0.0000
0.5000 0.0000 0.5000
0.5000 0.5000 0.0000
0.5000 0.5000 0.5000
0.2529 0.7376 0.4733
0.2624 0.7471 0.0267
0.2645 0.2799 0.0271
0.2799 0.2645 0.5271
0.7201 0.7355 0.4729
0.7355 0.7201 0.9729
0.7376 0.2529 0.9733
0.7471 0.2624 0.5267
```

---

Entry 10:
First-principles (PBE) data for an optimized crystal structure of Li3Ti5H12, as listed in Alexandria.

Computed properties:
The total energy is -89.77 eV per formula unit. The value obtained for the density of states at the Fermi level is 26.0 states/eV per cell. The symmetry is Ia-3d.

POSCAR file:
```
Li3Ti5H12
1.0
-5.5690 5.5690 5.5690
5.5690 -5.5690 5.5690
5.5690 5.5690 -5.5690
Li Ti H
12 20 48
Direct
0.1250 0.2500 0.3750
0.1250 0.3750 0.7500
0.2500 0.3750 0.1250
0.2500 0.8750 0.6250
0.3750 0.1250 0.2500
0.3750 0.7500 0.1250
0.6250 0.2500 0.8750
0.6250 0.8750 0.7500
0.7500 0.1250 0.3750
0.7500 0.6250 0.8750
0.8750 0.6250 0.2500
0.8750 0.7500 0.6250
0.0000 0.0000 0.0000
0.0000 0.0000 0.5000
0.0000 0.5000 0.0000
0.0000 0.5000 0.5000
0.1250 0.7500 0.8750
0.1250 0.8750 0.2500
0.2500 0.1250 0.8750
0.2500 0.6250 0.3750
0.3750 0.2500 0.6250
0.3750 0.6250 0.7500
0.5000 0.0000 0.0000
0.5000 0.0000 0.5000
0.5000 0.5000 0.0000
0.5000 0.5000 0.5000
0.6250 0.3750 0.2500
0.6250 0.7500 0.3750
0.7500 0.3750 0.6250
0.7500 0.8750 0.1250
0.8750 0.1250 0.7500
0.8750 0.2500 0.1250
0.0462 0.2052 0.1575
0.0462 0.3410 0.8887
0.0477 0.7052 0.6590
0.0477 0.8425 0.3887
0.1113 0.6575 0.4523
0.1113 0.9538 0.6590
0.1575 0.0462 0.2052
0.1575 0.6113 0.9523
0.1590 0.2052 0.5477
0.1590 0.4538 0.6113
0.2052 0.1575 0.0462
0.2052 0.5477 0.1590
0.2948 0.3410 0.9523
0.2948 0.4538 0.3425
0.3410 0.8887 0.0462
0.3410 0.9523 0.2948
0.3425 0.2948 0.4538
0.3425 0.5477 0.8887
0.3887 0.0477 0.8425
0.3887 0.8410 0.5462
0.4523 0.1113 0.6575
0.4523 0.8410 0.7948
0.4538 0.3425 0.2948
0.4538 0.6113 0.1590
0.5462 0.3887 0.8410
0.5462 0.6575 0.7052
0.5477 0.1590 0.2052
0.5477 0.8887 0.3425
0.6113 0.1590 0.4538
0.6113 0.9523 0.1575
0.6575 0.4523 0.1113
0.6575 0.7052 0.5462
0.6590 0.0477 0.7052
0.6590 0.1113 0.9538
0.7052 0.5462 0.6575
0.7052 0.6590 0.0477
0.7948 0.4523 0.8410
0.7948 0.8425 0.9538
0.8410 0.5462 0.3887
0.8410 0.7948 0.4523
0.8425 0.3887 0.0477
0.8425 0.9538 0.7948
0.8887 0.0462 0.3410
0.8887 0.3425 0.5477
0.9523 0.1575 0.6113
0.9523 0.2948 0.3410
0.9538 0.6590 0.1113
0.9538 0.7948 0.8425
```

---

Entry 11:
First-principles (PBE) data for an optimized crystal structure of Li3TiH, as listed in Alexandria.

Computed properties:
The total energy is -15.20 eV per formula unit. The value obtained for the density of states at the Fermi level is 3.4 states/eV per cell. The symmetry is Pm-3m.

POSCAR file:
```
Li3TiH
1.0
4.1720 0.0000 0.0000
0.0000 4.1720 0.0000
0.0000 0.0000 4.1720
Li Ti H
3 1 1
Direct
0.0000 0.0000 0.5000
0.0000 0.5000 0.0000
0.5000 0.0000 0.0000
0.5000 0.5000 0.5000
0.0000 0.0000 0.0000
```

---

Entry 12:
First-principles (PBE) data for an optimized crystal structure of LiTi5H4, as listed in Alexandria.

Computed properties:
The total energy is -57.14 eV per formula unit. The value obtained for the density of states at the Fermi level is 8.0 states/eV per cell. The symmetry is C2/m.

POSCAR file:
```
LiTi5H4
1.0
6.0578 -1.4767 0.0000
6.0578 1.4767 0.0000
-1.5102 0.0000 5.8933
Li Ti H
1 5 4
Direct
0.0000 0.0000 0.0000
0.0000 0.0000 0.5000
0.3288 0.3288 0.6641
0.3355 0.3355 0.1698
0.6645 0.6645 0.8302
0.6712 0.6712 0.3359
0.1638 0.1638 0.0801
0.4977 0.4977 0.7124
0.5023 0.5023 0.2876
0.8362 0.8362 0.9199
```

---

Entry 13:
First-principles (PBE) data for an optimized crystal structure of Li2Ti5H12, as listed in Alexandria.

Computed properties:
The total energy is -89.30 eV per formula unit. The value obtained for the density of states at the Fermi level is 6.0 states/eV per cell. The symmetry is C2/m.

POSCAR file:
```
Li2Ti5H12
1.0
4.5700 -2.5265 0.0000
4.5700 2.5265 0.0000
-0.9596 0.0000 6.0618
Li Ti H
2 5 12
Direct
0.2304 0.7696 0.0000
0.7696 0.2304 0.0000
0.0000 0.0000 0.5000
0.2814 0.2814 0.1725
0.3299 0.3299 0.6477
0.6701 0.6701 0.3523
0.7186 0.7186 0.8275
0.0778 0.0778 0.2281
0.0920 0.5888 0.4069
0.1290 0.4975 0.9093
0.4112 0.9080 0.5931
0.4843 0.4843 0.1860
0.4975 0.1290 0.9093
0.5025 0.8710 0.0907
0.5157 0.5157 0.8140
0.5888 0.0920 0.4069
0.8710 0.5025 0.0907
0.9080 0.4112 0.5931
0.9222 0.9222 0.7719
```

---

Entry 14:
First-principles (PBE) data for an optimized crystal structure of Li2TiTlH, as listed in Alexandria.

Computed properties:
The total energy is -18.11 eV per formula unit. The value obtained for the density of states at the Fermi level is 2.5 states/eV per cell. The symmetry is P4/mmm.

POSCAR file:
```
Li2TiTlH
1.0
4.1425 0.0000 0.0000
0.0000 4.1425 0.0000
0.0000 0.0000 4.1490
Li Ti Tl H
2 1 1 1
Direct
0.0000 0.5000 0.0000
0.5000 0.0000 0.0000
0.0000 0.0000 0.5000
0.5000 0.5000 0.5000
0.0000 0.0000 0.0000
```

---

Entry 15:
First-principles (PBE) data for an optimized crystal structure of LiTiHW2, as listed in Alexandria.

Computed properties:
The total energy is -27.50 eV per formula unit. The value obtained for the density of states at the Fermi level is 4.1 states/eV per cell. The symmetry is P4/mmm.

POSCAR file:
```
LiTiHW2
1.0
4.5677 0.0000 0.0000
0.0000 4.5677 0.0000
0.0000 0.0000 4.9439
Li Ti H W
1 1 1 2
Direct
0.0000 0.0000 0.0000
0.0000 0.0000 0.5000
0.5000 0.5000 0.0000
0.0000 0.5000 0.5000
0.5000 0.0000 0.5000
```

---

Entry 16:
First-principles (PBE) data for an optimized crystal structure of LiY2TiH, as listed in Alexandria.

Computed properties:
The total energy is -26.01 eV per formula unit. The value obtained for the density of states at the Fermi level is 5.0 states/eV per cell. The symmetry is P4/mmm.

POSCAR file:
```
LiY2TiH
1.0
5.1216 0.0000 0.0000
0.0000 5.1216 0.0000
0.0000 0.0000 3.8671
Li Y Ti H
1 2 1 1
Direct
0.0000 0.0000 0.0000
0.0000 0.5000 0.5000
0.5000 0.0000 0.5000
0.5000 0.5000 0.0000
0.5000 0.5000 0.5000
```

---

Entry 17:
First-principles (PBE) data for an optimized crystal structure of LiTi2ZnH, as listed in Alexandria.

Computed properties:
The total energy is -23.01 eV per formula unit. The value obtained for the density of states at the Fermi level is 5.6 states/eV per cell. The symmetry is P4/mmm.

POSCAR file:
```
LiTi2ZnH
1.0
4.0230 0.0000 0.0000
0.0000 4.0230 0.0000
0.0000 0.0000 3.8999
Li Ti Zn H
1 2 1 1
Direct
0.0000 0.0000 0.0000
0.0000 0.5000 0.5000
0.5000 0.0000 0.5000
0.5000 0.5000 0.0000
0.0000 0.0000 0.5000
```

---

Entry 18:
First-principles (PBE) data for an optimized crystal structure of LiTiZnH, as listed in Alexandria.

Computed properties:
The value obtained for the density of states at the Fermi level is 6.8 states/eV per cell. The symmetry is Amm2. As for the energy above the most stable polymorph in this dataset: 0.186 eV/atom.

POSCAR file:
```
LiTiZnH
1.0
3.0368 0.0000 0.0000
0.0000 3.9951 0.0000
0.0000 0.0000 7.8201
Li Ti Zn H
2 2 2 2
Direct
0.0000 0.0000 0.0000
0.0000 0.5000 0.5000
0.5000 0.0000 0.3387
0.5000 0.5000 0.8387
0.0000 0.0000 0.6634
0.0000 0.5000 0.1634
0.5000 0.0000 0.8745
0.5000 0.5000 0.3745
```